Record 1
Entry from the Alexandria database: a relaxed KTc2Sb crystal (PBE).

Unit cell a=4.2350 b=4.2350 c=20.8329 alpha=90.00 beta=90.00 gamma=120.00
Space group R3m (No. 160, hexagonal axes)
One atom of each set of equivalent atoms:
K 0.0000 0.0000 0.0000 x3
Tc 0.0000 0.0000 0.2074 x3
Tc 0.0000 0.0000 0.5217 x3
Sb 0.0000 0.0000 0.7952 x3

Summary:
The calculation puts the density at 5.49 g/cm3. The value obtained for the total energy is -0.22604 hartree per atom.

---

Record 2
Entry from the Alexandria database: a relaxed Zn2CoTc crystal (PBE).

Unit cell a=3.891 b=3.891 c=7.011 alpha=90.00 beta=90.00 gamma=90.00
Space group I-4m2 (No. 119)
One atom of each set of equivalent atoms:
Zn 0.000 0.000 0.000 x2
Zn 0.000 0.500 0.250 x2
Co 0.000 0.500 0.750 x2
Tc 0.000 0.000 0.500 x2

Summary:
The calculation puts the density at 9.00 g/cm3. The calculation puts the formation energy at 125 meV/atom.

---

Record 3
Entry from the Alexandria database: a relaxed LaMgTl2H crystal (PBE).

Unit cell a=6.318 b=6.318 c=4.128 alpha=90.00 beta=90.00 gamma=90.00
Space group P4/mmm (No. 123)
One atom of each set of equivalent atoms:
La 0.000 0.000 0.000 x1
Mg 0.500 0.500 0.500 x1
Tl 0.000 0.500 0.000 x2
H 0.000 0.000 0.500 x1

Summary:
The calculation puts the density at 5.78 g/cm3. The value obtained for the total energy is -0.09783 hartree per atom.

---

Record 4
Entry from the Alexandria database: a relaxed Ca3CeSb3 crystal (PBE).

Unit cell a=9.547 b=9.547 c=9.547 alpha=90.00 beta=90.00 gamma=90.00
Space group P2_13 (No. 198)
One atom of each set of equivalent atoms:
Ca 0.070 0.430 0.570 x4
Ca 0.176 0.176 0.176 x4
Ca 0.178 0.822 0.322 x4
Ce 0.070 0.570 0.930 x4
Sb 0.000 0.250 0.871 x12

Summary:
The calculation puts the density at 4.78 g/cm3. The value obtained for the total energy is -0.16535 hartree per atom.

---

Record 5
Entry from the Alexandria database: a relaxed LiHo2Rh crystal (PBE).

Unit cell a=3.9744 b=3.9744 c=24.0872 alpha=90.00 beta=90.00 gamma=120.00
Space group R3m (No. 160, hexagonal axes)
One atom of each set of equivalent atoms:
Li 0.0000 0.0000 0.0000 x3
Ho 0.0000 0.0000 0.5583 x3
Ho 0.0000 0.0000 0.7692 x3
Rh 0.0000 0.0000 0.1632 x3

Summary:
The calculation puts the density at 6.65 g/cm3. The calculation puts the formation energy at -355 meV/atom.

---

Record 6
Entry from the Alexandria database: a relaxed La7Pr12Y crystal (PBE).

Unit cell a=13.9479 b=13.9479 c=12.9173 alpha=90.00 beta=90.00 gamma=120.00
Space group R-3m (No. 166, hexagonal axes)
One atom of each set of equivalent atoms:
La 0.0000 0.0000 0.0000 x3
La 0.0456 0.5228 0.1127 x18
Pr 0.0000 0.2584 0.0000 x18
Pr 0.0879 0.1759 0.7640 x18
Y 0.0000 0.0000 0.5000 x3

Summary:
The calculation puts the density at 6.30 g/cm3. The calculation puts the formation energy at 75 meV/atom.